# Ca2AlAu2 (GGA-PBE, relaxed)
# **DFT formation energy**: -0.710 eV/atom
# **D(E_F)**: 2.87 states/eV/f.u.
# **Energy**: -17.9 eV per formula unit
# **Size of the total moment**: 0.000 μB per atom
data_Ca2AlAu2
_chemical_formula_sum 'Ca4 Al2 Au4'
_space_group_name_H-M_alt 'P 1'
_space_group_IT_number 1
_cell_length_a 4.3478
_cell_length_b 6.1062
_cell_length_c 9.8971
_cell_angle_alpha 83.03
_cell_angle_beta 77.31
_cell_angle_gamma 69.14
loop_
_space_group_symop_operation_xyz
'x,y,z'
loop_
_atom_site_label
_atom_site_type_symbol
_atom_site_fract_x
_atom_site_fract_y
_atom_site_fract_z
Ca1 Ca 0.5066 0.6573 0.3294
Ca2 Ca 0.6860 0.7343 0.8937
Ca3 Ca 0.3140 0.2657 0.1063
Ca4 Ca 0.4934 0.3427 0.6706
Al1 Al 0.7846 0.0663 0.3645
Au1 Au 0.9866 0.1530 0.8739
Al2 Al 0.2154 0.9337 0.6355
Au2 Au 0.8517 0.7276 0.5689
Au3 Au 0.1483 0.2724 0.4311
Au4 Au 0.0134 0.8470 0.1261